(1)
Here is a crystal of CdPb7 relaxed with PBEsol from the Alexandria database. Energies are from SCAN.

Cell: 6.889 6.889 6.889 Å, 60.00 60.00 60.00°
Fractional positions:
Cd: 0.000 0.000 0.000
Pb: 0.000 0.000 0.500
Pb: 0.000 0.500 0.000
Pb: 0.000 0.500 0.500
Pb: 0.500 0.000 0.000
Pb: 0.500 0.000 0.500
Pb: 0.500 0.500 0.000
Pb: 0.500 0.500 0.500

Calculated values
As for the final energy: -70.08 eV/atom. The calculation puts the formation energy from the elements at 2.7 kJ/mol of atoms. The magnetization is 0.0 μB per formula unit.

(2)
Here is a crystal of CrPRuO2 relaxed with PBEsol from the Alexandria database. Energies are from SCAN.

Cell: 3.656 3.656 5.197 Å, 90.00 90.00 90.00°
Fractional positions:
Cr: 0.000 0.000 0.000
P: 0.500 0.500 0.000
Ru: 0.500 0.500 0.500
O: 0.000 0.500 0.500
O: 0.500 0.000 0.500

Calculated values
The calculation puts the raw formation energy at -0.465 eV/atom. As for the final energy: -15.68 eV/atom. The magnetization is 3.9 μB per formula unit.

(3)
Here is a crystal of SrCa4P3O12F relaxed with PBEsol from the Alexandria database. Energies are from SCAN.

Cell: 9.381 9.381 6.966 Å, 90.00 90.00 120.00°
Fractional positions:
Sr: 0.333 0.667 0.000
Sr: 0.667 0.333 0.500
Ca: 0.007 0.247 0.250
Ca: 0.241 0.993 0.250
Ca: 0.247 0.241 0.750
Ca: 0.333 0.667 0.500
Ca: 0.667 0.333 0.000
Ca: 0.753 0.759 0.250
Ca: 0.759 0.007 0.750
Ca: 0.993 0.753 0.750
P: 0.028 0.393 0.752
P: 0.365 0.972 0.752
P: 0.393 0.365 0.252
P: 0.607 0.635 0.752
P: 0.635 0.028 0.252
P: 0.972 0.607 0.252
O: 0.076 0.325 0.577
O: 0.097 0.352 0.933
O: 0.114 0.583 0.733
O: 0.161 0.685 0.266
O: 0.248 0.924 0.577
O: 0.255 0.903 0.933
O: 0.315 0.476 0.266
O: 0.325 0.248 0.077
O: 0.352 0.255 0.433
O: 0.417 0.531 0.733
O: 0.469 0.886 0.733
O: 0.476 0.161 0.766
O: 0.524 0.839 0.266
O: 0.531 0.114 0.233
O: 0.583 0.469 0.233
O: 0.648 0.745 0.933
O: 0.675 0.752 0.577
O: 0.685 0.524 0.766
O: 0.745 0.097 0.433
O: 0.752 0.076 0.077
O: 0.839 0.315 0.766
O: 0.886 0.417 0.233
O: 0.903 0.648 0.433
O: 0.924 0.675 0.077
F: 0.000 0.000 0.270
F: 0.000 0.000 0.770

Calculated values
The calculation puts the raw formation energy at -3.302 eV/atom. As for the final energy: -11.42 eV/atom. The magnetization is 0.0 μB per formula unit.